# 1
{"formula": "Tb3NbO7", "functional": "GGA-PBEsol", "state": "optimized geometry", "crystal_system": "orthorhombic", "polymorph_energy_mev_per_atom": 25, "dft_energy_ev_per_atom": -9.006, "lattice": [[-1.548, -5.672, 2.538], [0.752, -0.458, -6.343], [7.245, -1.543, 0.971]], "species": ["O", "O", "Nb", "O", "Nb", "O", "O", "O", "O", "O", "Tb", "Tb", "O", "O", "O", "O", "O", "O", "Tb", "Tb", "Tb", "Tb"], "fractional_positions": [[0.565, 0.825, 0.538], [0.435, 0.175, 0.462], [0.500, 0.500, 0.500], [0.413, 0.413, 0.750], [0.500, 0.500, 0.000], [0.565, 0.825, 0.962], [0.587, 0.587, 0.250], [0.891, 0.155, 0.750], [0.435, 0.175, 0.038], [0.845, 0.109, 0.250], [0.934, 0.481, 0.250], [0.519, 0.066, 0.750], [0.175, 0.435, 0.038], [0.825, 0.565, 0.962], [0.175, 0.435, 0.462], [0.825, 0.565, 0.538], [0.155, 0.891, 0.750], [0.109, 0.845, 0.250], [0.481, 0.934, 0.250], [0.066, 0.519, 0.750], [0.000, 0.000, 0.000], [0.000, 0.000, 0.500]]}

=====

# 2
{"formula": "NbTe3O", "functional": "GGA-PBEsol", "state": "optimized geometry", "crystal_system": "cubic", "dft_energy_ev_per_atom": -5.046, "lattice": [[-2.825, -2.069, 3.164], [-0.347, -3.791, -2.788], [3.764, -1.901, 2.118]], "species": ["O", "Te", "Te", "Nb", "Te"], "fractional_positions": [[0.000, 0.000, 0.000], [0.500, 0.000, 0.000], [0.000, 0.000, 0.500], [0.500, 0.500, 0.500], [0.000, 0.500, 0.000]]}

=====

Let's list V in order: 13.0 21.0 Å³ per atom.
Let's list uncorrected formation energy in order: -3.315 0.284 eV per atom.